Below is crystalline LaAlCd11 at its relaxed geometry, with properties calculated at the PBE-GGA level.

## Properties
- DFT total energy (eV/atom) = -1.559
- V (Å³ per cell) = 593
- calculated density (g cm⁻³) = 7.853
- DOS(E_F) (states/eV/f.u.) = 3.8
- spin magnetization (μB/atom) = 0.000

Cell and atoms, written as CIF:
```
data_LaAlCd11
_cell_length_a 5.915
_cell_length_b 14.251
_cell_length_c 7.622
_cell_angle_alpha 90.00
_cell_angle_beta 112.60
_cell_angle_gamma 90.00
_symmetry_space_group_name_H-M 'C 1 2/m 1'
_symmetry_Int_Tables_number 12
_symmetry_space_group_name_Hall '-C 2y'
loop_
_atom_site_label
_atom_site_type_symbol
_atom_site_fract_x
_atom_site_fract_y
_atom_site_fract_z
La1 La 0.000 0.000 0.000
Al1 Al 0.000 0.500 0.500
Cd1 Cd 0.000 0.000 0.500
Cd2 Cd 0.104 0.394 0.216
Cd3 Cd 0.184 0.174 0.356
Cd4 Cd 0.250 0.250 0.000
```